Here is a relaxed In4C crystal from Alexandria via LeMat-Bulk. Energies are from PBE-GGA.

Computed properties:
- space-group type = I4/mmm
- ΔH_f (0 K) (eV per atom) = 1.2900
- electronic total energy (eV per atom) = -2.7455

Unit cell a=8.8857 b=8.8857 c=8.8857 alpha=154.23 beta=154.23 gamma=36.77
With the nearest neighbours (Å) after each atom.
Fractional positions:
In (0.2500, 0.7500, 0.5000)  4 In 2.80
In (0.7500, 0.2500, 0.5000)  4 In 2.80
In (0.4157, 0.4157, 0.0000)  1 In 2.84, 4 C 3.14
In (0.5843, 0.5843, 0.0000)  1 In 2.84, 4 C 3.14
C (0.0000, 0.0000, 0.0000)  8 In 3.14